# GGA-PBE Pu3PdN, optimized geometry
# Uncorrected formation energy in eV/atom: -0.50
# Total magnetization in μB per atom: 3.45
data_Pu3PdN
_space_group_name_H-M_alt 'P m -3 m'
_space_group_IT_number 221
_space_group_name_Hall '-P 4 2 3'
_cell_length_a 4.7594
_cell_length_b 4.7594
_cell_length_c 4.7594
_cell_angle_alpha 90.00
_cell_angle_beta 90.00
_cell_angle_gamma 90.00
loop_
_atom_site_label
_atom_site_type_symbol
_atom_site_fract_x
_atom_site_fract_y
_atom_site_fract_z
Pu1 Pu 0.0000 0.0000 0.5000
Pd1 Pd 0.5000 0.5000 0.5000
N1 N 0.0000 0.0000 0.0000